(1)
Density functional theory data (PBEsol) for an optimized crystal structure of KMn2Fe.

**Polymorph energy (0 for the lowest one)**: 655 meV per atom
**Formation enthalpy at 0 K**: 1472 meV per atom

a = 2.7557 Å, b = 4.9215 Å, c = 5.0085 Å
α = 90.00°, β = 90.00°, γ = 90.00°
With the nearest neighbours (Å) after each atom.
Space group Pmmm (No. 47)
Asymmetric unit:
K 0.0000 0.0000 0.0000 x1  2 K 2.76, 4 Mn 2.82, 4 Fe 2.86
Mn 0.0000 0.5000 0.5000 x1  6 Mn 2.76-2.86, 4 Fe 2.82
Mn 0.5000 0.5000 0.0000 x1  6 Mn 2.76-2.86, 4 K 2.82
Fe 0.5000 0.0000 0.5000 x1  2 Fe 2.76, 4 Mn 2.82, 4 K 2.86

=====

(2)
Density functional theory data (PBEsol) for an optimized crystal structure of LaSeIN2.

**Uncorrected formation energy**: 65.71 kJ/mol of atoms
**Polymorph energy (0 for the lowest one)**: 0 meV per atom

a = 4.2002 Å, b = 4.2002 Å, c = 6.5141 Å
α = 90.00°, β = 90.00°, γ = 90.00°
With the nearest neighbours (Å) after each atom.
Space group P4/mmm (No. 123)
Asymmetric unit:
La 0.0000 0.0000 0.0000 x1  4 N 2.10
Se 0.0000 0.0000 0.5000 x1  4 I 2.97, 2 La 3.26
I 0.5000 0.5000 0.5000 x1  4 Se 2.97
N 0.0000 0.5000 0.0000 x2  2 La 2.10

=====

(3)
Density functional theory data (PBEsol) for an optimized crystal structure of Sr2CrSbO6.

**Uncorrected formation energy**: -221.00 kJ/mol of atoms

a = 5.5174 Å, b = 5.5174 Å, c = 7.9794 Å
α = 90.00°, β = 90.00°, γ = 90.00°
With the nearest neighbours (Å) after each atom.
Space group I4/m (No. 87)
Asymmetric unit:
Sr 0.0000 0.5000 0.2500 x4  8 O 2.56-2.76
Cr 0.0000 0.0000 0.0000 x2  6 O 1.98-1.99
Sb 0.0000 0.0000 0.5000 x2  6 O 1.99-2.00
O 0.0000 0.0000 0.2498 x4  1 Cr 1.99, 1 Sb 2.00
O 0.2055 0.2931 0.0000 x8  1 Cr 1.98, 1 Sb 1.99